A geometry-optimized La2ScHg structure. Source: Alexandria, functional PBE-GGA.

The structure in CIF format:
```
data_La2ScHg
_cell_length_a 3.6361
_cell_length_b 3.6361
_cell_length_c 32.3197
_cell_angle_alpha 90.00
_cell_angle_beta 90.00
_cell_angle_gamma 120.00
_symmetry_space_group_name_H-M 'R 3 m'
_symmetry_Int_Tables_number 160
_symmetry_space_group_name_Hall 'R 3 -2"'
loop_
_atom_site_label
_atom_site_type_symbol
_atom_site_fract_x
_atom_site_fract_y
_atom_site_fract_z
_atom_site_occupancy
La1 La 0.0000 0.0000 0.0000 1
La2 La 0.0000 0.0000 0.1695 1
Sc1 Sc 0.0000 0.0000 0.4177 1
Hg1 Hg 0.0000 0.0000 0.5850 1
```

Properties
Formation energy from the elements ... -0.088 eV/atom
Crystal system ... trigonal
Calculated volume ... 30.8 A^3/atom


A geometry-optimized LaScHg2 structure. Source: Alexandria, functional PBE-GGA.

The structure in CIF format:
```
data_LaScHg2
_cell_length_a 3.7410
_cell_length_b 5.2920
_cell_length_c 5.2929
_cell_angle_alpha 90.00
_cell_angle_beta 90.01
_cell_angle_gamma 90.00
_symmetry_space_group_name_H-M 'P 1 m 1'
_symmetry_Int_Tables_number 6
_symmetry_space_group_name_Hall 'P -2y'
loop_
_atom_site_label
_atom_site_type_symbol
_atom_site_fract_x
_atom_site_fract_y
_atom_site_fract_z
_atom_site_occupancy
La1 La 0.0000 0.0000 0.0000 1
Sc1 Sc 0.0027 0.5000 0.5013 1
Hg1 Hg 0.5003 0.0000 0.5000 1
Hg2 Hg 0.5003 0.5000 0.0028 1
```

Properties
Formation energy from the elements ... -0.371 eV/atom
ΔE to the lowest computed polymorph ... 82.7 meV/atom
Crystal system ... monoclinic
Calculated volume ... 26.2 A^3/atom


A geometry-optimized LaScHg structure. Source: Alexandria, functional PBE-GGA.

The structure in CIF format:
```
data_LaScHg
_cell_length_a 12.8902
_cell_length_b 3.6045
_cell_length_c 7.2729
_cell_angle_alpha 90.00
_cell_angle_beta 103.73
_cell_angle_gamma 90.00
_symmetry_space_group_name_H-M 'C 1 m 1'
_symmetry_Int_Tables_number 8
_symmetry_space_group_name_Hall 'C -2y'
loop_
_atom_site_label
_atom_site_type_symbol
_atom_site_fract_x
_atom_site_fract_y
_atom_site_fract_z
_atom_site_occupancy
La1 La 0.0000 0.0000 0.0000 1
La2 La 0.0249 0.0000 0.5618 1
Sc1 Sc 0.1908 0.5000 0.3188 1
Sc2 Sc 0.3075 0.0000 0.6761 1
Hg1 Hg 0.2055 0.5000 0.9080 1
Hg2 Hg 0.3621 0.0000 0.2465 1
```

Properties
Formation energy from the elements ... -0.208 eV/atom
ΔE to the lowest computed polymorph ... 132.6 meV/atom
Crystal system ... monoclinic
Calculated volume ... 27.4 A^3/atom


A geometry-optimized La4ScHg3 structure. Source: Alexandria, functional PBE-GGA.

The structure in CIF format:
```
data_La4ScHg3
_cell_length_a 3.8062
_cell_length_b 5.5655
_cell_length_c 11.3472
_cell_angle_alpha 90.00
_cell_angle_beta 90.00
_cell_angle_gamma 90.00
_symmetry_space_group_name_H-M 'P m m m'
_symmetry_Int_Tables_number 47
_symmetry_space_group_name_Hall '-P 2 2'
loop_
_atom_site_label
_atom_site_type_symbol
_atom_site_fract_x
_atom_site_fract_y
_atom_site_fract_z
_atom_site_occupancy
La1 La 0.0000 0.0000 0.0000 1
La2 La 0.0000 0.0000 0.5000 1
La3 La 0.0000 0.5000 0.2435 1
Sc1 Sc 0.5000 0.5000 0.5000 1
Hg1 Hg 0.5000 0.0000 0.2619 1
Hg2 Hg 0.5000 0.5000 0.0000 1
```

Properties
Formation energy from the elements ... -0.335 eV/atom
Crystal system ... orthorhombic
Calculated volume ... 30.0 A^3/atom


A geometry-optimized LaScHg structure. Source: Alexandria, functional PBE-GGA.

The structure in CIF format:
```
data_LaScHg
_cell_length_a 5.2615
_cell_length_b 5.2615
_cell_length_c 6.5066
_cell_angle_alpha 90.00
_cell_angle_beta 90.00
_cell_angle_gamma 120.00
_symmetry_space_group_name_H-M 'P 63/m m c'
_symmetry_Int_Tables_number 194
_symmetry_space_group_name_Hall '-P 6c 2c'
loop_
_atom_site_label
_atom_site_type_symbol
_atom_site_fract_x
_atom_site_fract_y
_atom_site_fract_z
_atom_site_occupancy
La1 La 0.3333 0.6667 0.2500 1
Sc1 Sc 0.3333 0.6667 0.7500 1
Hg1 Hg 0.0000 0.0000 0.0000 1
```

Properties
Formation energy from the elements ... -0.006 eV/atom
ΔE to the lowest computed polymorph ... 334.4 meV/atom
Crystal system ... hexagonal
Calculated volume ... 26.0 A^3/atom


A geometry-optimized LaScHg6 structure. Source: Alexandria, functional PBE-GGA.

The structure in CIF format:
```
data_LaScHg6
_cell_length_a 4.7511
_cell_length_b 4.7511
_cell_length_c 8.8142
_cell_angle_alpha 90.00
_cell_angle_beta 90.00
_cell_angle_gamma 90.00
_symmetry_space_group_name_H-M 'P 4/m m m'
_symmetry_Int_Tables_number 123
_symmetry_space_group_name_Hall '-P 4 2'
loop_
_atom_site_label
_atom_site_type_symbol
_atom_site_fract_x
_atom_site_fract_y
_atom_site_fract_z
_atom_site_occupancy
La1 La 0.0000 0.0000 0.0000 1
Sc1 Sc 0.0000 0.0000 0.5000 1
Hg1 Hg 0.0000 0.5000 0.2683 1
Hg2 Hg 0.5000 0.5000 0.0000 1
Hg3 Hg 0.5000 0.5000 0.5000 1
```

Properties
Formation energy from the elements ... -0.285 eV/atom
Crystal system ... tetragonal
Calculated volume ... 24.9 A^3/atom


> Among the records above, which one has the lowest calculated volume?

LaScHg6


> Look up the calculated volume of the second one.

26.2 A^3/atom


Please write out number 5 again, unchanged.
A geometry-optimized LaScHg structure. Source: Alexandria, functional PBE-GGA.

The structure in CIF format:
```
data_LaScHg
_cell_length_a 5.2615
_cell_length_b 5.2615
_cell_length_c 6.5066
_cell_angle_alpha 90.00
_cell_angle_beta 90.00
_cell_angle_gamma 120.00
_symmetry_space_group_name_H-M 'P 63/m m c'
_symmetry_Int_Tables_number 194
_symmetry_space_group_name_Hall '-P 6c 2c'
loop_
_atom_site_label
_atom_site_type_symbol
_atom_site_fract_x
_atom_site_fract_y
_atom_site_fract_z
_atom_site_occupancy
La1 La 0.3333 0.6667 0.2500 1
Sc1 Sc 0.3333 0.6667 0.7500 1
Hg1 Hg 0.0000 0.0000 0.0000 1
```

Properties
Formation energy from the elements ... -0.006 eV/atom
ΔE to the lowest computed polymorph ... 334.4 meV/atom
Crystal system ... hexagonal
Calculated volume ... 26.0 A^3/atom